Crystalline NbZnFe2As at its relaxed geometry, computed with PBE-GGA.

Geometry as POSCAR:
```
NbZnFe2As
1.0
4.347 0.000 0.000
0.000 4.841 0.000
0.000 0.000 4.347
Zn Nb As Fe
1 1 1 2
direct
0.000 0.000 0.000
0.000 0.500 0.000
0.500 0.500 0.500
0.000 0.000 0.500
0.500 0.000 0.000
```

Crystalline Nd3Fe5As12 at its relaxed geometry, computed with PBE-GGA.

Geometry as POSCAR:
```
Nd3Fe5As12
1.0
-1.906 12.835 1.721
-4.245 -6.493 10.543
12.768 -2.325 -1.708
Nd Fe As
12 20 48
direct
0.750 0.375 0.125
0.875 0.750 0.125
0.375 0.750 0.625
0.250 0.125 0.375
0.875 0.125 0.250
0.375 0.625 0.250
0.625 0.375 0.750
0.125 0.875 0.750
0.750 0.875 0.625
0.625 0.250 0.375
0.125 0.250 0.875
0.250 0.625 0.875
0.125 0.375 0.250
0.000 0.500 0.000
0.000 0.000 0.000
0.375 0.250 0.125
0.500 0.000 0.500
0.500 0.500 0.000
0.125 0.750 0.375
0.750 0.125 0.875
0.750 0.625 0.375
0.375 0.125 0.750
0.625 0.875 0.250
0.500 0.500 0.500
0.500 0.000 0.000
0.000 0.000 0.500
0.250 0.375 0.625
0.250 0.875 0.125
0.000 0.500 0.500
0.875 0.250 0.625
0.625 0.750 0.875
0.875 0.625 0.750
0.699 0.089 0.009
0.310 0.509 0.420
0.991 0.411 0.301
0.509 0.199 0.089
0.610 0.699 0.690
0.991 0.580 0.190
0.310 0.801 0.390
0.080 0.890 0.089
0.580 0.991 0.690
0.699 0.610 0.190
0.801 0.491 0.411
0.810 0.920 0.009
0.089 0.699 0.509
0.411 0.420 0.110
0.110 0.920 0.411
0.390 0.089 0.580
0.110 0.190 0.199
0.491 0.690 0.080
0.810 0.890 0.301
0.089 0.390 0.080
0.411 0.991 0.801
0.580 0.589 0.390
0.920 0.810 0.509
0.801 0.310 0.890
0.420 0.411 0.610
0.080 0.190 0.491
0.199 0.690 0.110
0.190 0.110 0.699
0.589 0.009 0.199
0.911 0.610 0.920
0.509 0.310 0.920
0.610 0.911 0.420
0.890 0.810 0.801
0.890 0.080 0.589
0.911 0.301 0.491
0.190 0.080 0.991
0.589 0.580 0.890
0.420 0.009 0.310
0.301 0.390 0.810
0.199 0.509 0.589
0.920 0.110 0.911
0.690 0.199 0.610
0.491 0.801 0.911
0.009 0.420 0.810
0.390 0.301 0.310
0.009 0.589 0.699
0.690 0.491 0.580
0.301 0.911 0.991
```

Crystalline NdFe3As3 at its relaxed geometry, computed with PBE-GGA.

Geometry as POSCAR:
```
NdFe3As3
1.0
6.443 0.000 0.000
0.000 6.443 0.000
0.000 0.000 6.443
As Nd Fe
6 2 6
direct
0.000 0.250 0.500
0.000 0.750 0.500
0.500 0.000 0.750
0.750 0.500 0.000
0.500 0.000 0.250
0.250 0.500 0.000
0.500 0.500 0.500
0.000 0.000 0.000
0.250 0.000 0.500
0.000 0.500 0.250
0.500 0.750 0.000
0.750 0.000 0.500
0.000 0.500 0.750
0.500 0.250 0.000
```

Crystalline Nd2FeNi3As4 at its relaxed geometry, computed with PBE-GGA.

Geometry as POSCAR:
```
Nd2FeNi3As4
1.0
4.210 0.000 0.000
0.000 4.210 0.000
0.000 0.000 9.545
Nd Fe Ni As
2 1 3 4
direct
0.500 0.000 0.249
0.000 0.500 0.751
0.500 0.500 0.500
0.000 0.000 0.500
0.500 0.000 0.882
0.000 0.500 0.118
0.500 0.500 0.000
0.000 0.000 0.000
0.500 0.000 0.629
0.000 0.500 0.371
```

no.,total moment (Bohr magnetons per cell),total DFT energy (no corrections) (eV/atom)
1,5.21,-5.521
2,8.67,-5.823
3,8.54,-6.404
4,2.04,-6.162